1.
Here is crystalline LiHfAlCd at its relaxed geometry from Alexandria via LeMat-Bulk. Energies are from PBE.

POSCAR file:
```
LiHfAlCd
1.0
-0.526 2.468 -4.028
-1.950 -2.062 -3.813
-4.339 1.296 -1.444
Cd Li Hf Al
1 1 1 1
Direct
0.750 0.750 0.750
0.000 0.000 0.000
0.500 0.500 0.500
0.250 0.250 0.250
```

## Properties
Formation energy in eV per formula unit: -0.24
Calculated total energy in eV/f.u.: -16.8

2.
Here is crystalline Hf2MnAlCd at its relaxed geometry from Alexandria via LeMat-Bulk. Energies are from PBE.

POSCAR file:
```
Hf2MnAlCd
1.0
5.108 0.000 0.000
0.000 4.630 0.000
0.000 0.000 5.108
Mn Cd Hf Al
1 1 2 1
Direct
0.000 0.500 0.000
0.000 0.000 0.000
0.500 0.000 0.000
0.000 0.000 0.500
0.500 0.500 0.500
```

## Properties
Formation energy in eV per formula unit: 7.44
Calculated total energy in eV/f.u.: -26.3

3.
Here is crystalline Hf2AlCdPt at its relaxed geometry from Alexandria via LeMat-Bulk. Energies are from PBE.

POSCAR file:
```
Hf2AlCdPt
1.0
5.035 0.000 0.000
0.000 5.082 0.000
0.000 0.000 5.035
Pt Cd Hf Al
1 1 2 1
Direct
0.000 0.000 0.000
0.000 0.500 0.000
0.000 0.000 0.500
0.500 0.000 0.000
0.500 0.500 0.500
```

## Properties
Formation energy in eV per formula unit: 1.59
Calculated total energy in eV/f.u.: -29.0

4.
Here is crystalline HfAlCdSi2 at its relaxed geometry from Alexandria via LeMat-Bulk. Energies are from PBE.

POSCAR file:
```
HfAlCdSi2
1.0
-1.760 3.813 -2.523
-4.536 -1.284 1.222
0.292 2.792 4.016
Hf Si Al Cd
1 2 1 1
Direct
0.500 0.500 0.500
0.500 0.000 0.000
0.000 0.000 0.500
0.000 0.500 0.000
0.000 0.000 0.000
```

## Properties
Formation energy from raw total energies in meV per atom: 1208
Calculated total energy in eV/f.u.: -19.4

5.
Here is crystalline HfAl2CdSi at its relaxed geometry from Alexandria via LeMat-Bulk. Energies are from PBE.

POSCAR file:
```
HfAl2CdSi
1.0
-1.515 -2.621 -4.266
5.191 -0.939 -1.267
-0.127 -4.436 2.770
Al Si Cd Hf
2 1 1 1
Direct
0.000 0.000 0.500
0.500 0.000 0.000
0.500 0.500 0.500
0.000 0.500 0.000
0.000 0.000 0.000
```

## Properties
Formation energy from raw total energies in meV per atom: 1284
Calculated total energy in eV/f.u.: -17.4

6.
Here is crystalline TbHfAlCd at its relaxed geometry from Alexandria via LeMat-Bulk. Energies are from PBE.

POSCAR file:
```
TbHfAlCd
1.0
-2.528 2.192 -3.736
1.564 -0.529 -4.736
-2.645 -2.794 -3.217
Tb Al Cd Hf
1 1 1 1
Direct
0.500 0.500 0.500
0.250 0.250 0.250
0.750 0.750 0.750
0.000 0.000 0.000
```

## Properties
Formation energy in eV per formula unit: -0.66
Calculated total energy in eV/f.u.: -19.9

Which of these has the lowest calculated total energy? Hf2AlCdPt

Which of these has the highest calculated total energy? LiHfAlCd

Number 1 is which compound? LiHfAlCd

Copy entry 5 word for word.
Here is crystalline HfAl2CdSi at its relaxed geometry from Alexandria via LeMat-Bulk. Energies are from PBE.

POSCAR file:
```
HfAl2CdSi
1.0
-1.515 -2.621 -4.266
5.191 -0.939 -1.267
-0.127 -4.436 2.770
Al Si Cd Hf
2 1 1 1
Direct
0.000 0.000 0.500
0.500 0.000 0.000
0.500 0.500 0.500
0.000 0.500 0.000
0.000 0.000 0.000
```

## Properties
Formation energy from raw total energies in meV per atom: 1284
Calculated total energy in eV/f.u.: -17.4